A relaxed structure of EuGdCdBi, computed with GGA-PBE.

Computed properties:
ΔE_f = -0.483 eV/atom
N(E_F) = 1.64 states/eV/atom

a b c (Å): 5.5492 5.5492 5.5492
angles (deg): 60.00 60.00 60.00
Fractional coordinates of all 4 atoms:
Eu: 0.5000 0.5000 0.5000
Gd: 0.0000 0.0000 0.0000
Bi: 0.2500 0.2500 0.2500
Cd: 0.7500 0.7500 0.7500